Entry 1:
DFT (PBE) results for a relaxed structure of LiTaCr2.

abc: 2.9056 2.9056 6.9939
angles: 90.00 90.00 90.00
Each line ends with the local moment (μB).
Fractional positions:
1 Cr 0.0000 0.0000 0.0367  -1.31
2 Cr 0.5000 0.5000 0.2144  2.07
3 Li 0.0000 0.0000 0.4703  0.01
4 Ta 0.5000 0.5000 0.7786  -0.06

Computed properties:
Fermi-level density of states in states/eV per cell: 3.83
E_form in eV per atom: 0.373
Energy above the most stable polymorph in this dataset in eV per atom: 0.048



Entry 2:
DFT (PBE) results for a relaxed structure of Li2TaCr.

abc: 10.1518 10.1518 10.1518
angles: 15.23 15.23 15.23
Each line ends with the local moment (μB).
Fractional positions:
1 Cr 0.7500 0.7500 0.7500  1.26
2 Li 0.0049 0.0049 0.0049  -0.01
3 Li 0.4951 0.4951 0.4951  -0.01
4 Ta 0.2500 0.2500 0.2500  -0.05

Computed properties:
Fermi-level density of states in states/eV per cell: 4.65
E_form in eV per atom: 0.565
Energy above the most stable polymorph in this dataset in eV per atom: 0.241



Calculated values (μB per formula unit) of size of the total moment for the records, taken in order: 0.80, 1.26.